Entry w
Computed, not measured: a relaxed structure of Hf2TaTl at the PBE level of DFT.

Summary:
spin magnetization = 0.00 μB per formula unit
volume = 263.52 Å³ per cell

Cell lengths 3.2105, 3.2105, 29.5214 Å; angles 90.00, 90.00, 120.00 degrees
With the nearest neighbours (Å) after each atom.
Space group R-3m (No. 166, hexagonal axes)
Symmetry-distinct sites (fractional):
1 Hf 0.0000 0.0000 0.2456 (multiplicity 6)  3 Ta 2.98, 3 Tl 3.19, 6 Hf 3.21
2 Ta 0.0000 0.0000 0.5000 (multiplicity 3)  6 Hf 2.98, 6 Ta 3.21
3 Tl 0.0000 0.0000 0.0000 (multiplicity 3)  6 Hf 3.19, 6 Tl 3.21



Entry x
Computed, not measured: a relaxed structure of Hf2TaTl at the PBE level of DFT.

Summary:
spin magnetization = 0.00 μB per formula unit
volume = 363.42 Å³ per cell

Cell lengths 4.1666, 4.1666, 20.9331 Å; angles 90.00, 90.00, 90.00 degrees
With the nearest neighbours (Å) after each atom.
Space group I-42d (No. 122)
Symmetry-distinct sites (fractional):
1 Hf 0.2411 0.2500 0.1250 (multiplicity 8)  4 Hf 2.89-3.00, 2 Ta 2.99, 2 Tl 3.02
2 Ta 0.0000 0.0000 0.0000 (multiplicity 4)  4 Tl 2.95, 4 Hf 2.99
3 Tl 0.0000 0.0000 0.5000 (multiplicity 4)  4 Ta 2.95, 4 Hf 3.02



Most favorable structure: entry w. The second most favorable one is 567 meV per atom above it.



Entry w
Computed, not measured: a relaxed structure of Hf2TaTl at the PBE level of DFT.

Summary:
spin magnetization = 0.00 μB per formula unit
volume = 85.47 Å³ per cell

Cell lengths 3.5281, 3.5281, 6.8669 Å; angles 90.00, 90.00, 90.00 degrees
With the nearest neighbours (Å) after each atom.
Space group P4/mmm (No. 123)
Symmetry-distinct sites (fractional):
1 Hf 0.0000 0.0000 0.2288 (multiplicity 2)  4 Ta 2.95, 4 Tl 3.11, 1 Hf 3.14
2 Ta 0.5000 0.5000 0.0000 (multiplicity 1)  8 Hf 2.95
3 Tl 0.5000 0.5000 0.5000 (multiplicity 1)  8 Hf 3.11, 2 Ta 3.43



Entry x
Computed, not measured: a relaxed structure of Hf2TaTl at the PBE level of DFT.

Summary:
spin magnetization = 0.00 μB per formula unit
volume = 334.53 Å³ per cell

Cell lengths 6.9419, 6.9419, 6.9419 Å; angles 90.00, 90.00, 90.00 degrees
With the nearest neighbours (Å) after each atom.
Space group Fm-3m (No. 225)
Symmetry-distinct sites (fractional):
1 Hf 0.2500 0.2500 0.2500 (multiplicity 8)  4 Ta 3.01, 4 Tl 3.01
2 Ta 0.0000 0.0000 0.0000 (multiplicity 4)  8 Hf 3.01
3 Tl 0.0000 0.0000 0.5000 (multiplicity 4)  8 Hf 3.01



Most favorable structure: entry w. The second most favorable one is 172 meV per atom above it.



Entry w
Computed, not measured: a relaxed structure of Hf2TaTl at the PBE level of DFT.

Summary:
spin magnetization = 0.00 μB per formula unit
volume = 262.87 Å³ per cell

Cell lengths 3.1937, 3.1937, 29.7589 Å; angles 90.00, 90.00, 120.00 degrees
With the nearest neighbours (Å) after each atom.
Space group R3m (No. 160, hexagonal axes)
Symmetry-distinct sites (fractional):
1 Hf 0.0000 0.0000 0.0000 (multiplicity 3)  3 Ta 2.99, 6 Hf 3.19, 3 Tl 3.20
2 Hf 0.0000 0.0000 0.1579 (multiplicity 3)  3 Ta 2.98, 3 Tl 3.19, 6 Hf 3.19
3 Ta 0.0000 0.0000 0.7459 (multiplicity 3)  6 Hf 2.98-2.99, 6 Ta 3.19
4 Tl 0.0000 0.0000 0.5788 (multiplicity 3)  6 Hf 3.19-3.20, 6 Tl 3.19



Entry x
Computed, not measured: a relaxed structure of Hf2TaTl at the PBE level of DFT.

Summary:
spin magnetization = 0.00 μB per formula unit
volume = 83.46 Å³ per cell

Cell lengths 4.5763, 4.5763, 3.9851 Å; angles 90.00, 90.00, 90.00 degrees
With the nearest neighbours (Å) after each atom.
Space group P4/mmm (No. 123)
Symmetry-distinct sites (fractional):
1 Hf 0.0000 0.5000 0.0000 (multiplicity 2)  4 Tl 3.03, 4 Ta 3.03, 4 Hf 3.24
2 Ta 0.0000 0.0000 0.5000 (multiplicity 1)  8 Hf 3.03, 4 Tl 3.24
3 Tl 0.5000 0.5000 0.5000 (multiplicity 1)  8 Hf 3.03, 4 Ta 3.24



Most favorable structure: entry x. The second most favorable one is 24 meV per atom above it.